Here is a geometry-optimized HoTcHgO6 structure from Alexandria. Energies are from PBE.

POSCAR file:
```
HoTcHgO6
1.0
-1.4648 3.1639 -4.4979
-3.5917 -2.0248 -3.9228
-4.5144 0.5484 2.7848
Ho Tc Hg O
1 1 1 6
Direct
0.6665 0.6665 0.5000 Ho
0.3145 0.3146 0.5000 Tc
0.9810 0.9811 0.0000 Hg
0.9920 0.4146 0.2763 O
0.4145 0.9921 0.7237 O
0.6646 0.3115 0.7114 O
0.1064 0.5488 0.6962 O
0.3114 0.6646 0.2886 O
0.5488 0.1065 0.3038 O
```

Values from the calculation:
For the spin magnetization, the calculation gives 0.000 μB/atom. For the raw formation energy, the calculation gives -1.6174 eV/atom. Its space group is C2.